# 1
Computed, not measured: an optimized crystal structure of Co2WAu at the PBE level of DFT.

Values from the calculation:
For the volume, the calculation gives 13.935 A^3/atom. Its total energy is -7.101 eV per atom. Its crystal system is cubic. Its spin magnetization is 2.45 Bohr magnetons per cell.

Cell: 4.2877 4.2877 4.2877 Å, 60.00 60.00 60.00°
Closest atoms and distances in Å follow each position.
Atoms (fractional coordinates):
W 0.5000 0.5000 0.5000  4 Co 2.63, 4 Au 2.63
Co 0.0000 0.0000 0.0000  4 Co 2.63, 4 Au 2.63
Co 0.7500 0.7500 0.7500  4 W 2.63, 4 Co 2.63
Au 0.2500 0.2500 0.2500  4 W 2.63, 4 Co 2.63


# 2
Computed, not measured: an optimized crystal structure of PmCd4Sb2 at the PBE level of DFT.

Values from the calculation:
For the volume, the calculation gives 26.097 A^3/atom. Its total energy is -2.370 eV per atom. Its crystal system is tetragonal. Its spin magnetization is 0.00 Bohr magnetons per cell.

Cell: 6.2719 6.2719 6.2719 Å, 103.47 103.47 122.28°
Closest atoms and distances in Å follow each position.
Atoms (fractional coordinates):
Cd 0.3076 0.6924 0.0000  4 Cd 2.99-3.28, 4 Sb 3.20
Cd 0.3076 0.3076 0.6152  4 Cd 2.99-3.28, 4 Sb 3.20
Cd 0.6924 0.3076 0.0000  4 Cd 2.99-3.28, 4 Sb 3.20
Cd 0.6924 0.6924 0.3848  4 Cd 2.99-3.28, 4 Sb 3.20
Sb 0.2500 0.7500 0.5000  2 Sb 3.03, 8 Cd 3.20
Sb 0.7500 0.2500 0.5000  2 Sb 3.03, 8 Cd 3.20
Pm 0.0000 0.0000 0.0000  12 Cd 3.38-3.69


# 3
Computed, not measured: an optimized crystal structure of PrAlCdNi at the PBE level of DFT.

Values from the calculation:
For the volume, the calculation gives 20.323 A^3/atom. Its total energy is -4.154 eV per atom. Its crystal system is orthorhombic. Its spin magnetization is 0.00 Bohr magnetons per cell.

Cell: 7.5976 5.4465 5.4465 Å, 46.17 90.00 90.00°
Closest atoms and distances in Å follow each position.
Atoms (fractional coordinates):
Cd 0.3003 0.8542 0.8542  3 Ni 2.71-2.78, 2 Al 3.02, 1 Cd 3.03
Cd 0.6997 0.8542 0.8542  3 Ni 2.71-2.78, 2 Al 3.02, 1 Cd 3.03
Al 0.8085 0.1579 0.1579  3 Ni 2.56-2.63
Al 0.1915 0.1579 0.1579  3 Ni 2.56-2.63
Ni 0.0000 0.7080 0.7080  4 Al 2.63, 1 Pr 2.66, 2 Cd 2.71
Ni 0.5000 0.2611 0.2611  2 Al 2.56, 4 Cd 2.78
Pr 0.0000 0.4428 0.4428  1 Ni 2.66
Pr 0.5000 0.5639 0.5639  3 Ni 2.91-3.03


# 4
Computed, not measured: an optimized crystal structure of RbAlZn at the PBE level of DFT.

Values from the calculation:
For the volume, the calculation gives 35.583 A^3/atom. Its total energy is -1.340 eV per atom. Its crystal system is cubic.

Cell: 5.3247 5.3247 5.3247 Å, 60.00 60.00 60.00°
Closest atoms and distances in Å follow each position.
Atoms (fractional coordinates):
Al 0.0000 0.0000 0.0000  4 Rb 3.26, 4 Zn 3.26
Rb 0.2500 0.2500 0.2500  4 Al 3.26
Zn 0.7500 0.7500 0.7500  4 Al 3.26